Entry 1:
First-principles (PBE) data for ThZn6Ru2 after structural relaxation, as listed in the Alexandria database. Values from VASP.

```
&SYSTEM
  ibrav = 0, nat = 9, ntyp = 3
/
ATOMIC_SPECIES
Th 232.04 Th.upf
Zn 65.41 Zn.upf
Ru 101.07 Ru.upf
CELL_PARAMETERS angstrom
-2.237 3.008 5.790
2.237 -3.008 5.790
2.237 3.008 -5.790
ATOMIC_POSITIONS angstrom
Th 0.000 0.000 0.000
Zn 2.237 1.647 -2.407
Zn 2.237 1.852 0.000
Zn 2.237 1.647 2.407
Zn 0.000 1.362 3.383
Zn 0.000 1.156 5.790
Zn 0.000 1.362 8.197
Ru 2.237 0.000 4.505
Ru 0.000 3.008 1.285
```

The value obtained for the total magnetization is 0.00 μB/f.u. The space-group type is Immm, No. 71. The formation energy is -7 meV per atom.



Entry 2:
First-principles (PBE) data for CdInGaS4 after structural relaxation, as listed in the Alexandria database. Values from VASP.

```
&SYSTEM
  ibrav = 0, nat = 14, ntyp = 4
/
ATOMIC_SPECIES
Cd 112.41 Cd.upf
In 114.82 In.upf
Ga 69.72 Ga.upf
S 32.06 S.upf
CELL_PARAMETERS angstrom
3.909 0.000 0.000
-1.954 3.385 0.000
0.000 0.000 26.262
ATOMIC_POSITIONS angstrom
Cd 0.000 0.000 6.395
Cd 0.000 0.000 19.867
In 0.000 2.257 16.036
In 1.954 1.128 10.226
Ga 0.000 2.257 2.759
Ga 1.954 1.128 23.503
S 0.000 2.257 4.970
S 0.000 2.257 11.380
S 0.000 2.257 18.435
S 0.000 2.257 24.439
S 1.954 1.128 1.823
S 1.954 1.128 7.828
S 1.954 1.128 14.882
S 1.954 1.128 21.292
```

The value obtained for the total magnetization is 0.00 μB/f.u. The value obtained for the uncorrected formation energy is -0.56 eV per atom. The space-group type is P-3m1, No. 164.